Record 1
# CaSm3Rh8

An optimized crystal structure of CaSm3Rh8 (PBE, the Alexandria database).

Cell: 9.3379 9.3379 9.3379 Å, 33.43 33.43 33.43°
Closest atoms and distances in Å follow each position.
Atoms (fractional coordinates):
Ca 0.0000 0.0000 0.0000  12 Rh 3.15-3.17, 4 Sm 3.27
Sm 0.1238 0.1238 0.1238  12 Rh 3.12-3.20, 1 Ca 3.27, 3 Sm 3.31
Sm 0.5012 0.5012 0.5012  12 Rh 3.14-3.16, 4 Sm 3.31-3.34
Sm 0.6278 0.6278 0.6278  12 Rh 3.12-3.19, 3 Ca 3.27, 1 Sm 3.34
Rh 0.0633 0.0633 0.5621  6 Rh 2.68-2.70
Rh 0.0633 0.5621 0.0633  6 Rh 2.68-2.70
Rh 0.0644 0.5630 0.5630  6 Rh 2.68-2.70
Rh 0.3132 0.3132 0.3132  6 Rh 2.70
Rh 0.5621 0.0633 0.0633  6 Rh 2.68-2.70
Rh 0.5630 0.0644 0.5630  6 Rh 2.68-2.70
Rh 0.5630 0.5630 0.0644  6 Rh 2.68-2.70
Rh 0.8132 0.8132 0.8132  6 Rh 2.69

Values from the calculation:
E_form, eV/f.u.: -7.7
Raw total energy, eV per atom: -6.8853

---

Record 2
# CuSnSe2N

An optimized crystal structure of CuSnSe2N (PBE, the Alexandria database).

Cell: 5.1267 5.1267 3.6592 Å, 90.00 90.00 90.00°
Closest atoms and distances in Å follow each position.
Atoms (fractional coordinates):
Cu 0.0000 0.0000 0.0000  2 N 1.83
Sn 0.5000 0.5000 0.5000  8 Se 3.15
Se 0.0000 0.5000 0.0000  2 Cu 2.56
Se 0.5000 0.0000 0.0000  2 Cu 2.56
N 0.0000 0.0000 0.5000  2 Cu 1.83

Values from the calculation:
Raw total energy, eV per atom: -4.0945
Raw formation energy, eV per atom: 0.584

---

Record 3
# InPtSCl2

An optimized crystal structure of InPtSCl2 (PBE, the Alexandria database).

Cell: 4.9560 4.9560 5.1961 Å, 90.00 90.00 90.00°
Closest atoms and distances in Å follow each position.
Atoms (fractional coordinates):
In 0.0000 0.0000 0.0000  4 Cl 2.48, 2 S 2.60
Pt 0.5000 0.5000 0.5000  4 S 3.50, 8 Cl 3.59
S 0.0000 0.0000 0.5000  2 In 2.60
Cl 0.0000 0.5000 0.0000  2 In 2.48
Cl 0.5000 0.0000 0.0000  2 In 2.48

Values from the calculation:
Raw total energy, eV per atom: -2.8728
Raw formation energy, eV per atom: 0.447

---

Record 4
# KAgO3

An optimized crystal structure of KAgO3 (PBE, the Alexandria database).

Cell: 4.3355 4.3355 4.3355 Å, 90.00 90.00 90.00°
Closest atoms and distances in Å follow each position.
Atoms (fractional coordinates):
K 0.0000 0.0000 0.0000  6 O 2.17
Ag 0.5000 0.5000 0.5000  12 O 3.07
O 0.0000 0.0000 0.5000  2 K 2.17
O 0.0000 0.5000 0.0000  2 K 2.17
O 0.5000 0.0000 0.0000  2 K 2.17

Values from the calculation:
Raw total energy, eV per atom: -2.4971
Raw formation energy, eV per atom: 1.268

---

Record 5
# Sn3HPt

An optimized crystal structure of Sn3HPt (PBE, the Alexandria database).

Cell: 5.2334 5.2334 5.2334 Å, 90.00 90.00 90.00°
Closest atoms and distances in Å follow each position.
Atoms (fractional coordinates):
Sn 0.0000 0.0000 0.5000  2 Pt 2.62
Sn 0.0000 0.5000 0.0000  2 Pt 2.62
Sn 0.5000 0.0000 0.0000  2 Pt 2.62
H 0.5000 0.5000 0.5000  12 Sn 3.70
Pt 0.0000 0.0000 0.0000  6 Sn 2.62

Values from the calculation:
Raw total energy, eV per atom: -3.7359

---

Record 6
# K2AsRh

An optimized crystal structure of K2AsRh (PBE, the Alexandria database).

Cell: 5.7905 5.7905 3.5062 Å, 90.05 90.05 124.97°
Closest atoms and distances in Å follow each position.
Atoms (fractional coordinates):
K 0.0000 0.5000 0.0000  2 K 2.67
K 0.5000 0.0000 0.0000  2 K 2.67
As 0.0000 0.0000 0.5000  2 Rh 2.67
Rh 0.5000 0.5000 0.5000  2 As 2.67

Values from the calculation:
E_form, eV/f.u.: 1.2
Raw total energy, eV per atom: -3.2499

---

Number 1: volume 18.34 Å³ per atom. Number 2: volume 19.23 Å³ per atom. Number 3: volume 25.53 Å³ per atom. Number 4: volume 16.30 Å³ per atom. Number 5: volume 28.67 Å³ per atom. Number 6: volume 24.08 Å³ per atom.